[1]
First-principles (PBE-GGA) data for crystalline Mn2RePt at its relaxed geometry, as listed in Alexandria.

Unit cell a=3.0855 b=3.0855 c=5.9981 alpha=90.00 beta=90.00 gamma=90.00
Space group P4/mmm (No. 123)
Symmetry-distinct sites (fractional):
Mn (0.0000, 0.0000, 0.2451) (multiplicity 2)
Re (0.5000, 0.5000, 0.0000) (multiplicity 1)
Pt (0.5000, 0.5000, 0.5000) (multiplicity 1)

Output
ΔH_f (0 K) ... -0.09 eV/atom

***

[2]
First-principles (PBE-GGA) data for crystalline MnRePt2 at its relaxed geometry, as listed in Alexandria.

Unit cell a=2.7678 b=2.7678 c=7.8297 alpha=90.00 beta=90.00 gamma=90.00
Space group P4/mmm (No. 123)
Symmetry-distinct sites (fractional):
Mn (0.0000, 0.0000, 0.0000) (multiplicity 1)
Re (0.0000, 0.0000, 0.5000) (multiplicity 1)
Pt (0.5000, 0.5000, 0.2504) (multiplicity 2)

Output
Offset from the most stable computed form ... 0.0 meV/atom
ΔH_f (0 K) ... -0.18 eV/atom

***

[3]
First-principles (PBE-GGA) data for crystalline Mn3RePt12 at its relaxed geometry, as listed in Alexandria.

Unit cell a=3.9346 b=3.9346 c=15.7940 alpha=90.00 beta=90.00 gamma=90.00
Space group P4/mmm (No. 123)
Symmetry-distinct sites (fractional):
Mn (0.0000, 0.0000, 0.0000) (multiplicity 1)
Mn (0.0000, 0.0000, 0.2459) (multiplicity 2)
Re (0.0000, 0.0000, 0.5000) (multiplicity 1)
Pt (0.0000, 0.5000, 0.1244) (multiplicity 4)
Pt (0.0000, 0.5000, 0.3769) (multiplicity 4)
Pt (0.5000, 0.5000, 0.0000) (multiplicity 1)
Pt (0.5000, 0.5000, 0.2501) (multiplicity 2)
Pt (0.5000, 0.5000, 0.5000) (multiplicity 1)

Output
ΔH_f (0 K) ... -0.27 eV/atom